1.
Zn3Br | the Alexandria database | PBE-GGA | optimized geometry; E above lowest polymorph = 462.5 meV/atom
1.0
0.0000 3.5300 3.5300
3.5300 0.0000 3.5300
3.5300 3.5300 0.0000
Zn Br
3 1
Cartesian
0.0000 0.0000 0.0000 Zn
1.7650 1.7650 1.7650 Zn
5.2950 5.2950 5.2950 Zn
3.5300 3.5300 3.5300 Br



2.
Crystalline ZnBr3 at its relaxed geometry, computed with PBE-GGA.

POSCAR file:
```
ZnBr3
1.0
4.7099 0.0000 0.0000
0.0000 4.7099 0.0000
0.0000 0.0000 4.7099
Zn Br
1 3
Cartesian
0.0000 0.0000 0.0000 Zn
0.0000 2.3549 2.3549 Br
2.3549 0.0000 2.3549 Br
2.3549 2.3549 0.0000 Br
```



Taking the records one at a time from the top gives formation energy without anion corrections values of 29.24 39.33 kJ/mol of atoms.